# PBE CuRh2Cl, optimized geometry
data_CuRh2Cl
_chemical_formula_sum 'Cu4 Rh8 Cl4'
_cell_length_a 6.139
_cell_length_b 6.139
_cell_length_c 6.139
_cell_angle_alpha 90.00
_cell_angle_beta 90.00
_cell_angle_gamma 90.00
_symmetry_space_group_name_H-M 'P 1'
_symmetry_Int_Tables_number 1
loop_
_symmetry_equiv_pos_as_xyz
'x,y,z'
loop_
_atom_site_label
_atom_site_type_symbol
_atom_site_fract_x
_atom_site_fract_y
_atom_site_fract_z
_atom_site_occupancy
Cu1 Cu 0.000 0.000 0.000 1
Cu2 Cu 0.000 0.500 0.500 1
Cu3 Cu 0.500 0.000 0.500 1
Cu4 Cu 0.500 0.500 0.000 1
Rh1 Rh 0.250 0.250 0.250 1
Rh2 Rh 0.250 0.250 0.750 1
Rh3 Rh 0.250 0.750 0.250 1
Rh4 Rh 0.250 0.750 0.750 1
Rh5 Rh 0.750 0.250 0.250 1
Rh6 Rh 0.750 0.250 0.750 1
Rh7 Rh 0.750 0.750 0.250 1
Rh8 Rh 0.750 0.750 0.750 1
Cl1 Cl 0.000 0.000 0.500 1
Cl2 Cl 0.000 0.500 0.000 1
Cl3 Cl 0.500 0.000 0.000 1
Cl4 Cl 0.500 0.500 0.500 1
# Formation energy without anion corrections in eV per atom: 0.638
# Energy relative to the lowest polymorph listed for this composition in meV per atom: 457.2